[1]
Density functional theory data (PBE-GGA) for a relaxed KRb3Ce2Se6 crystal.

a b c (Å): 10.4083 10.4083 9.5868
angles (deg): 106.19 106.19 24.49
Sites, in units of the cell vectors:
K (0.0000, 0.0000, 0.0000)
Rb (0.0000, 0.0000, 0.5000)
Rb (0.3445, 0.3445, 0.1653)
Rb (0.6555, 0.6555, 0.8347)
Ce (0.3326, 0.3326, 0.6673)
Ce (0.6674, 0.6674, 0.3327)
Se (0.1733, 0.1733, 0.1397)
Se (0.1805, 0.1805, 0.5475)
Se (0.4722, 0.4722, 0.7387)
Se (0.5278, 0.5278, 0.2613)
Se (0.8195, 0.8195, 0.4525)
Se (0.8267, 0.8267, 0.8603)

M_tot = 0.000 μB/f.u.
E = -4.54 eV/atom
calculated volume = 34.392 Å³/atom



[2]
Density functional theory data (PBE-GGA) for a relaxed K2Ce2RhS6 crystal.

a b c (Å): 6.6937 6.6937 7.9252
angles (deg): 98.56 98.56 118.42
Sites, in units of the cell vectors:
K (0.1718, 0.8282, 0.0000)
K (0.8282, 0.1718, 0.0000)
Ce (0.3322, 0.6678, 0.5000)
Ce (0.6678, 0.3322, 0.5000)
Rh (0.0000, 0.0000, 0.5000)
S (0.0681, 0.3675, 0.6924)
S (0.2291, 0.2291, 0.3101)
S (0.3675, 0.0681, 0.6924)
S (0.6325, 0.9319, 0.3076)
S (0.7709, 0.7709, 0.6899)
S (0.9319, 0.6325, 0.3076)

M_tot = 1.113 μB/f.u.
E = -5.57 eV/atom
calculated volume = 27.162 Å³/atom



[3]
Density functional theory data (PBE-GGA) for a relaxed K3Ce2RhS6 crystal.

a b c (Å): 6.8916 6.8916 7.7439
angles (deg): 98.56 98.56 120.06
Sites, in units of the cell vectors:
K (0.0000, 0.0000, 0.0000)
K (0.3319, 0.6681, 0.0000)
K (0.6681, 0.3319, 0.0000)
Ce (0.1664, 0.8336, 0.5000)
Ce (0.8336, 0.1664, 0.5000)
Rh (0.5000, 0.5000, 0.5000)
S (0.1241, 0.4343, 0.3027)
S (0.2561, 0.2561, 0.6977)
S (0.4343, 0.1241, 0.3027)
S (0.5657, 0.8759, 0.6973)
S (0.7439, 0.7439, 0.3023)
S (0.8759, 0.5657, 0.6973)

M_tot = 2.083 μB/f.u.
E = -5.30 eV/atom
calculated volume = 25.322 Å³/atom



no.,ΔE_f (raw) (eV/f.u.),mass density (g/cm3)
1,-17.8,4.2
2,-15.1,3.6
3,-16.3,3.8